# Er5Ge2S2

A geometry-optimized Er5Ge2S2 structure (PBE, the Alexandria database).

Properties
electronic total energy: -51.1 eV/f.u.
ρ: 8.81 g/cm3
total moment: 0.0 μB per formula unit

a = 7.947 Å, b = 7.947 Å, c = 7.556 Å
α = 90.00°, β = 90.00°, γ = 55.68°
Fractional coordinates of all 18 atoms:
Er  0.000  0.000  0.000
Er  0.028  0.693  0.657
Er  0.193  0.528  0.157
Er  0.307  0.972  0.657
Er  0.472  0.807  0.157
Er  0.500  0.500  0.500
Er  0.528  0.193  0.843
Er  0.693  0.028  0.343
Er  0.807  0.472  0.843
Er  0.972  0.307  0.343
Ge  0.136  0.864  0.363
Ge  0.364  0.636  0.863
Ge  0.636  0.364  0.137
Ge  0.864  0.136  0.637
S  0.196  0.196  0.000
S  0.304  0.304  0.500
S  0.696  0.696  0.500
S  0.804  0.804  0.000